1.
Density functional theory data (GGA-PBE) for crystalline MgCu2HPd at its relaxed geometry.

Cell: 3.7445 3.7445 4.1832 Å, 90.00 90.00 90.00°
Closest atoms and distances in Å follow each position.
Space group P4/mmm (No. 123)
Inequivalent atoms, fractional coordinates:
Mg (0.0000, 0.0000, 0.0000)  2 H 2.09
Cu (0.0000, 0.5000, 0.5000)  2 H 1.87
H (0.0000, 0.0000, 0.5000)  4 Cu 1.87, 2 Mg 2.09
Pd (0.5000, 0.5000, 0.0000)  4 Mg 2.65, 8 Cu 2.81

Results
DFT total energy   -3.841 eV per atom
Total magnetic moment   0.0 μB per formula unit

2.
Density functional theory data (GGA-PBE) for crystalline MgCuHPd2 at its relaxed geometry.

Cell: 3.9523 3.9523 3.9975 Å, 90.00 90.00 90.00°
Closest atoms and distances in Å follow each position.
Space group P4/mmm (No. 123)
Inequivalent atoms, fractional coordinates:
Mg (0.0000, 0.0000, 0.0000)  2 H 2.00
Cu (0.5000, 0.5000, 0.0000)  4 Mg 2.79, 8 Pd 2.81
H (0.0000, 0.0000, 0.5000)  4 Pd 1.98, 2 Mg 2.00
Pd (0.0000, 0.5000, 0.5000)  2 H 1.98

Results
DFT total energy   -4.209 eV per atom
Total magnetic moment   0.0 μB per formula unit

3.
Density functional theory data (GGA-PBE) for crystalline MgCu2HPd at its relaxed geometry.

Cell: 3.8651 3.8651 3.9695 Å, 90.00 90.00 90.00°
Closest atoms and distances in Å follow each position.
Space group P4/mmm (No. 123)
Inequivalent atoms, fractional coordinates:
Mg (0.0000, 0.0000, 0.0000)  4 Pd 2.73, 8 Cu 2.77
Cu (0.0000, 0.5000, 0.5000)  2 H 1.93
H (0.5000, 0.5000, 0.5000)  4 Cu 1.93, 2 Pd 1.98
Pd (0.5000, 0.5000, 0.0000)  2 H 1.98

Results
DFT total energy   -3.845 eV per atom
Total magnetic moment   0.0 μB per formula unit

4.
Density functional theory data (GGA-PBE) for crystalline MgCuHPd2 at its relaxed geometry.

Cell: 4.0669 4.0669 3.7254 Å, 90.00 90.00 90.00°
Closest atoms and distances in Å follow each position.
Space group P4/mmm (No. 123)
Inequivalent atoms, fractional coordinates:
Mg (0.0000, 0.0000, 0.0000)  8 Pd 2.76, 4 Cu 2.88
Cu (0.5000, 0.5000, 0.0000)  2 H 1.86
H (0.5000, 0.5000, 0.5000)  2 Cu 1.86, 4 Pd 2.03
Pd (0.0000, 0.5000, 0.5000)  2 H 2.03

Results
DFT total energy   -4.287 eV per atom
Total magnetic moment   0.0 μB per formula unit

5.
Density functional theory data (GGA-PBE) for crystalline PrMgCu2H8 at its relaxed geometry.

Cell: 4.4933 4.4933 6.7974 Å, 90.00 90.00 120.00°
Closest atoms and distances in Å follow each position.
Space group P-3 (No. 147)
Inequivalent atoms, fractional coordinates:
Pr (0.0000, 0.0000, 0.0000)  12 H 2.47-2.60
Mg (0.0000, 0.0000, 0.5000)  6 H 1.97
Cu (0.3333, 0.6667, 0.7411)  4 H 1.61-1.64
H (0.0127, 0.6919, 0.2982)  1 Cu 1.61
H (0.3333, 0.6667, 0.9821)  1 Cu 1.64

Results
DFT total energy   -3.530 eV per atom
Total magnetic moment   0.0 μB per formula unit

6.
Density functional theory data (GGA-PBE) for crystalline MgCuHPt2 at its relaxed geometry.

Cell: 3.9616 3.9616 3.9851 Å, 90.00 90.00 90.00°
Closest atoms and distances in Å follow each position.
Space group P4/mmm (No. 123)
Inequivalent atoms, fractional coordinates:
Mg (0.0000, 0.0000, 0.0000)  2 H 1.99
Cu (0.5000, 0.5000, 0.0000)  4 Mg 2.80, 8 Pt 2.81
H (0.0000, 0.0000, 0.5000)  4 Pt 1.98, 2 Mg 1.99
Pt (0.0000, 0.5000, 0.5000)  2 H 1.98

Results
DFT total energy   -4.590 eV per atom
Total magnetic moment   0.0 μB per formula unit

7.
Density functional theory data (GGA-PBE) for crystalline Mg2CuHPt at its relaxed geometry.

Cell: 4.2738 4.2738 3.6782 Å, 90.00 90.00 90.00°
Closest atoms and distances in Å follow each position.
Space group P4/mmm (No. 123)
Inequivalent atoms, fractional coordinates:
Mg (0.0000, 0.5000, 0.0000)  2 H 2.14
Cu (0.0000, 0.0000, 0.5000)  8 Mg 2.82, 4 Pt 3.02
H (0.5000, 0.5000, 0.0000)  2 Pt 1.84
Pt (0.5000, 0.5000, 0.5000)  2 H 1.84

Results
DFT total energy   -3.669 eV per atom
Total magnetic moment   0.0 μB per formula unit

8.
Density functional theory data (GGA-PBE) for crystalline MgCu2HPt at its relaxed geometry.

Cell: 3.9058 3.9058 3.8999 Å, 90.00 90.00 90.00°
Closest atoms and distances in Å follow each position.
Space group P4/mmm (No. 123)
Inequivalent atoms, fractional coordinates:
Mg (0.0000, 0.0000, 0.0000)  8 Cu 2.76, 4 Pt 2.76
Cu (0.0000, 0.5000, 0.5000)  2 H 1.95
H (0.5000, 0.5000, 0.5000)  2 Pt 1.95, 4 Cu 1.95
Pt (0.5000, 0.5000, 0.0000)  2 H 1.95

Results
DFT total energy   -4.055 eV per atom
Total magnetic moment   0.0 μB per formula unit

9.
Density functional theory data (GGA-PBE) for crystalline Mg2Cu6HPt at its relaxed geometry.

Cell: 4.9301 4.9380 6.9212 Å, 110.79 91.03 118.45°
Closest atoms and distances in Å follow each position.
Space group P-1 (No. 2)
Inequivalent atoms, fractional coordinates:
Mg (0.2125, 0.4007, 0.1139)  5 Cu 2.75-2.79, 3 Pt 2.85-3.01
Cu (0.1840, 0.4694, 0.6344)  1 H 1.87
Cu (0.1997, 0.0115, 0.7104)  1 H 1.71
Cu (0.3333, 0.0469, 0.3646)  1 H 1.87
H (0.0000, 0.0000, 0.5000)  6 Cu 1.71-1.87
Pt (0.5000, 0.0000, 0.0000)  6 Cu 2.50-2.64

Results
DFT total energy   -3.814 eV per atom
Total magnetic moment   0.0 μB per formula unit

10.
Density functional theory data (GGA-PBE) for crystalline MgCuHPt2 at its relaxed geometry.

Cell: 4.0180 4.0180 3.7851 Å, 90.00 90.00 90.00°
Closest atoms and distances in Å follow each position.
Space group P4/mmm (No. 123)
Inequivalent atoms, fractional coordinates:
Mg (0.0000, 0.0000, 0.0000)  8 Pt 2.76, 4 Cu 2.84
Cu (0.5000, 0.5000, 0.0000)  2 H 1.89
H (0.5000, 0.5000, 0.5000)  2 Cu 1.89, 4 Pt 2.01
Pt (0.0000, 0.5000, 0.5000)  2 H 2.01

Results
DFT total energy   -4.641 eV per atom
Total magnetic moment   0.0 μB per formula unit

11.
Density functional theory data (GGA-PBE) for crystalline Mg2CuHPt at its relaxed geometry.

Cell: 4.4528 4.4528 3.3098 Å, 90.00 90.00 90.00°
Closest atoms and distances in Å follow each position.
Space group P4/mmm (No. 123)
Inequivalent atoms, fractional coordinates:
Mg (0.0000, 0.5000, 0.0000)  2 H 2.23
Cu (0.0000, 0.0000, 0.5000)  2 H 1.65
H (0.0000, 0.0000, 0.0000)  2 Cu 1.65
Pt (0.5000, 0.5000, 0.5000)  8 Mg 2.77

Results
DFT total energy   -3.734 eV per atom
Total magnetic moment   0.0 μB per formula unit

12.
Density functional theory data (GGA-PBE) for crystalline MgCu2HPt at its relaxed geometry.

Cell: 3.7558 3.7558 4.1516 Å, 90.00 90.00 90.00°
Closest atoms and distances in Å follow each position.
Space group P4/mmm (No. 123)
Inequivalent atoms, fractional coordinates:
Mg (0.0000, 0.0000, 0.0000)  2 H 2.08
Cu (0.0000, 0.5000, 0.5000)  2 H 1.88
H (0.0000, 0.0000, 0.5000)  4 Cu 1.88, 2 Mg 2.08
Pt (0.5000, 0.5000, 0.0000)  4 Mg 2.66, 8 Cu 2.80

Results
DFT total energy   -4.054 eV per atom
Total magnetic moment   0.0 μB per formula unit

13.
Density functional theory data (GGA-PBE) for crystalline Mg2CuH6Rh2 at its relaxed geometry.

Cell: 4.7048 4.7048 15.3950 Å, 90.00 90.00 120.00°
Closest atoms and distances in Å follow each position.
Space group R-3m (No. 166, hexagonal axes)
Inequivalent atoms, fractional coordinates:
Mg (0.0000, 0.0000, 0.2269)  9 H 2.32-2.37, 1 Rh 2.59
Cu (0.0000, 0.0000, 0.0000)  6 H 1.88
H (0.0492, 0.5246, 0.7631)  1 Rh 1.65
Rh (0.0000, 0.0000, 0.3954)  3 H 1.65

Results
DFT total energy   -3.910 eV per atom
Total magnetic moment   0.0 μB per formula unit

14.
Density functional theory data (GGA-PBE) for crystalline MgCu2HRh at its relaxed geometry.

Cell: 3.7045 3.7045 4.1555 Å, 90.00 90.00 90.00°
Closest atoms and distances in Å follow each position.
Space group P4/mmm (No. 123)
Inequivalent atoms, fractional coordinates:
Mg (0.0000, 0.0000, 0.0000)  2 H 2.08
Cu (0.0000, 0.5000, 0.5000)  2 H 1.85
H (0.0000, 0.0000, 0.5000)  4 Cu 1.85
Rh (0.5000, 0.5000, 0.0000)  4 Mg 2.62, 8 Cu 2.78

Results
DFT total energy   -4.144 eV per atom
Total magnetic moment   0.0 μB per formula unit

15.
Density functional theory data (GGA-PBE) for crystalline MgCu2H4Rh at its relaxed geometry.

Cell: 4.1376 4.1376 8.3456 Å, 90.00 90.00 90.00°
Closest atoms and distances in Å follow each position.
Space group I-42m (No. 121)
Inequivalent atoms, fractional coordinates:
Mg (0.0000, 0.0000, 0.0000)  4 H 2.07
Cu (0.0000, 0.5000, 0.2500)  4 H 1.72
H (0.2138, 0.2138, 0.6449)  2 Cu 1.72, 1 Rh 1.74
Rh (0.0000, 0.0000, 0.5000)  4 H 1.74

Results
DFT total energy   -3.909 eV per atom
Total magnetic moment   0.0 μB per formula unit

16.
Density functional theory data (GGA-PBE) for crystalline MgCu2HRh at its relaxed geometry.

Cell: 3.8714 3.8714 3.8300 Å, 90.00 90.00 90.00°
Closest atoms and distances in Å follow each position.
Space group P4/mmm (No. 123)
Inequivalent atoms, fractional coordinates:
Mg (0.0000, 0.0000, 0.0000)  8 Cu 2.72, 4 Rh 2.74
Cu (0.0000, 0.5000, 0.5000)  2 H 1.94
H (0.5000, 0.5000, 0.5000)  2 Rh 1.91, 4 Cu 1.94
Rh (0.5000, 0.5000, 0.0000)  2 H 1.91

Results
DFT total energy   -4.303 eV per atom
Total magnetic moment   0.0 μB per formula unit

17.
Density functional theory data (GGA-PBE) for crystalline MgCuHRh2 at its relaxed geometry.

Cell: 3.9750 3.9750 3.7685 Å, 90.00 90.00 90.00°
Closest atoms and distances in Å follow each position.
Space group P4/mmm (No. 123)
Inequivalent atoms, fractional coordinates:
Mg (0.0000, 0.0000, 0.0000)  8 Rh 2.74, 4 Cu 2.81
Cu (0.5000, 0.5000, 0.0000)  2 H 1.88
H (0.5000, 0.5000, 0.5000)  2 Cu 1.88, 4 Rh 1.99
Rh (0.0000, 0.5000, 0.5000)  2 H 1.99

Results
DFT total energy   -4.945 eV per atom
Total magnetic moment   0.0 μB per formula unit

18.
Density functional theory data (GGA-PBE) for crystalline MgCuHRh2 at its relaxed geometry.

Cell: 3.8891 3.8891 3.9662 Å, 90.00 90.00 90.00°
Closest atoms and distances in Å follow each position.
Space group P4/mmm (No. 123)
Inequivalent atoms, fractional coordinates:
Mg (0.0000, 0.0000, 0.0000)  2 H 1.98
Cu (0.5000, 0.5000, 0.0000)  4 Mg 2.75, 8 Rh 2.78
H (0.0000, 0.0000, 0.5000)  4 Rh 1.94, 2 Mg 1.98
Rh (0.0000, 0.5000, 0.5000)  2 H 1.94

Results
DFT total energy   -4.907 eV per atom
Total magnetic moment   0.3 μB per formula unit

19.
Density functional theory data (GGA-PBE) for crystalline Mg2CuH6Rh at its relaxed geometry.

Cell: 6.9467 6.9948 4.9253 Å, 90.00 134.75 90.00°
Closest atoms and distances in Å follow each position.
Space group C2/m (No. 12)
Inequivalent atoms, fractional coordinates:
Mg (0.0000, 0.2502, 0.0000)  12 H 2.46-2.48
Cu (0.0000, 0.0000, 0.5000)  6 H 1.73-1.75
H (0.0000, 0.2501, 0.5000)  1 Rh 1.75, 1 Cu 1.75
H (0.2487, 0.5000, 0.9998)  1 Rh 1.75, 1 Cu 1.75
H (0.2489, 0.5000, 0.4972)  1 Cu 1.73, 1 Rh 1.74
Rh (0.0000, 0.5000, 0.5000)  6 H 1.74-1.75

Results
DFT total energy   -3.601 eV per atom
Total magnetic moment   0.0 μB per formula unit

20.
Density functional theory data (GGA-PBE) for crystalline Mg2CuHRu at its relaxed geometry.

Cell: 4.3076 4.3076 3.4913 Å, 90.00 90.00 90.00°
Closest atoms and distances in Å follow each position.
Space group P4/mmm (No. 123)
Inequivalent atoms, fractional coordinates:
Mg (0.0000, 0.5000, 0.0000)  2 H 2.15
Cu (0.0000, 0.0000, 0.5000)  8 Mg 2.77, 4 Ru 3.05
H (0.5000, 0.5000, 0.0000)  2 Ru 1.75
Ru (0.5000, 0.5000, 0.5000)  2 H 1.75

Results
DFT total energy   -4.063 eV per atom
Total magnetic moment   0.0 μB per formula unit